Record 1
## Tc2RuPt (PBE-GGA)

Data for a relaxed Tc2RuPt crystal.

Cell: 2.727 3.921 5.471 Å, 90.00 90.00 90.00°
Space group Pmmm (No. 47)
Symmetry-distinct sites (fractional):
Tc 0.000 0.000 0.231 (multiplicity 2)
Ru 0.500 0.500 0.000 (multiplicity 1)
Pt 0.500 0.500 0.500 (multiplicity 1)

Computed properties:
Distance to the lowest polymorph of the same formula (meV per atom): 64.6
Calculated formation energy (eV per atom): -0.09
M_tot (μB/atom): 0.000

***

Record 2
## NdCrP2 (PBE-GGA)

Data for a relaxed NdCrP2 crystal.

Cell: 4.3561 4.3561 22.2089 Å, 90.00 90.00 120.00°
Space group R-3m (No. 166, hexagonal axes)
Symmetry-distinct sites (fractional):
Nd 0.0000 0.0000 0.0000 (multiplicity 3)
Cr 0.0000 0.0000 0.5000 (multiplicity 3)
P 0.0000 0.0000 0.3988 (multiplicity 6)

Computed properties:
Distance to the lowest polymorph of the same formula (meV per atom): 722.2
Calculated formation energy (eV per atom): 0.04
M_tot (μB/atom): 0.763

***

Record 3
## LiZrIO2 (PBE-GGA)

Data for a relaxed LiZrIO2 crystal.

Cell: 4.080 4.080 4.449 Å, 90.00 90.00 90.00°
Space group P4/mmm (No. 123)
Symmetry-distinct sites (fractional):
Li 0.000 0.000 0.000 (multiplicity 1)
Zr 0.500 0.500 0.500 (multiplicity 1)
I 0.000 0.000 0.500 (multiplicity 1)
O 0.000 0.500 0.000 (multiplicity 2)

Computed properties:
Distance to the lowest polymorph of the same formula (meV per atom): 1587.0
M_tot (μB/atom): 0.000
ΔE_f (raw) (kcal/mol of atoms): -8.3

***

Record 4
## Ca2GeTe2 (PBE-GGA)

Data for a relaxed Ca2GeTe2 crystal.

Cell: 8.376 8.376 4.180 Å, 90.00 90.00 90.00°
Space group P4/mbm (No. 127)
Symmetry-distinct sites (fractional):
Ca 0.150 0.350 0.000 (multiplicity 4)
Ge 0.000 0.000 0.000 (multiplicity 2)
Te 0.162 0.662 0.500 (multiplicity 4)

Computed properties:
Distance to the lowest polymorph of the same formula (meV per atom): 134.7
M_tot (μB/atom): 0.000
ΔE_f (raw) (kcal/mol of atoms): -17.3

***

Record 5
## Tm3Pu2Sc9 (PBE-GGA)

Data for a relaxed Tm3Pu2Sc9 crystal.

Cell: 12.5500 12.5500 15.8197 Å, 90.00 90.00 120.00°
Space group R-3c (No. 167, hexagonal axes)
Symmetry-distinct sites (fractional):
Tm 0.0000 0.3649 0.2500 (multiplicity 18)
Pu 0.0000 0.0000 0.0779 (multiplicity 12)
Sc 0.0000 0.1512 0.7500 (multiplicity 18)
Sc 0.0255 0.2169 0.4097 (multiplicity 36)

Computed properties:
Calculated formation energy (eV per atom): 0.22
M_tot (μB/atom): 0.666

***

Record 6
## YReHg (PBE-GGA)

Data for a relaxed YReHg crystal.

Cell: 6.810 6.810 6.810 Å, 90.00 90.00 90.00°
Space group F-43m (No. 216)
Symmetry-distinct sites (fractional):
Y 0.000 0.000 0.000 (multiplicity 4)
Re 0.250 0.250 0.750 (multiplicity 4)
Hg 0.250 0.250 0.250 (multiplicity 4)

Computed properties:
Distance to the lowest polymorph of the same formula (meV per atom): 799.1
Calculated formation energy (eV per atom): 1.22
M_tot (μB/atom): 0.659

***

Record 7
## NaTcPt (PBE-GGA)

Data for a relaxed NaTcPt crystal.

Cell: 2.727 6.353 6.363 Å, 98.68 90.64 102.38°
Space group P1 (No. 1)
Symmetry-distinct sites (fractional):
Na 0.000 0.000 0.000 (multiplicity 1)
Na 0.327 0.668 0.689 (multiplicity 1)
Tc 0.227 0.462 0.240 (multiplicity 1)
Tc 0.611 0.224 0.464 (multiplicity 1)
Pt 0.666 0.355 0.877 (multiplicity 1)
Pt 0.913 0.840 0.365 (multiplicity 1)

Computed properties:
Distance to the lowest polymorph of the same formula (meV per atom): 75.0
Calculated formation energy (eV per atom): 0.12
M_tot (μB/atom): 0.000

***

Record 8
## AgSbIr (PBE-GGA)

Data for a relaxed AgSbIr crystal.

Cell: 3.1185 3.1185 6.9271 Å, 90.00 90.00 120.00°
Space group P3m1 (No. 156)
Symmetry-distinct sites (fractional):
Ag 0.0000 0.0000 0.0000 (multiplicity 1)
Sb 0.6667 0.3333 0.6119 (multiplicity 1)
Ir 0.3333 0.6667 0.3253 (multiplicity 1)

Computed properties:
Distance to the lowest polymorph of the same formula (meV per atom): 215.8
M_tot (μB/atom): 0.000
ΔE_f (raw) (kcal/mol of atoms): 7.2

***

Record 9
## K3Pm3MoS8 (PBE-GGA)

Data for a relaxed K3Pm3MoS8 crystal.

Cell: 8.0406 8.0406 22.5742 Å, 90.00 90.00 120.00°
Space group R-3m (No. 166, hexagonal axes)
Symmetry-distinct sites (fractional):
K 0.0000 0.5000 0.0000 (multiplicity 9)
Pm 0.0000 0.5000 0.5000 (multiplicity 9)
Mo 0.0000 0.0000 0.5000 (multiplicity 3)
S 0.0000 0.0000 0.2361 (multiplicity 6)
S 0.0332 0.5166 0.2300 (multiplicity 18)

Computed properties:
M_tot (μB/atom): 0.133
ΔE_f (raw) (kcal/mol of atoms): -35.0

***

Record 10
## LaHoAl (PBE-GGA)

Data for a relaxed LaHoAl crystal.

Cell: 5.807 3.891 8.141 Å, 90.00 107.39 90.00°
Space group Cm (No. 8)
Symmetry-distinct sites (fractional):
La 0.000 0.000 0.000 (multiplicity 2)
Ho 0.289 0.500 0.389 (multiplicity 2)
Al 0.283 0.000 0.679 (multiplicity 2)

Computed properties:
Distance to the lowest polymorph of the same formula (meV per atom): 221.7
Calculated formation energy (eV per atom): 0.00
M_tot (μB/atom): 0.000

***

- What is the formula in the sixth record?
  YReHg